Record 1
Here is a PBEsol-optimized structure of FeNi2AgO from Alexandria via LeMat-Bulk. Energies are from meta-GGA SCAN.

Summary:
Final energy, eV for the cell shown: -86.3
Formation energy from raw total energies, eV per atom: 0.35

CIF file:
```
data_FeNi2AgO
_symmetry_space_group_name_H-M 'P 4/m m m'
_symmetry_Int_Tables_number 123
_symmetry_space_group_name_Hall '-P 4 2'
_cell_length_a 4.441
_cell_length_b 4.441
_cell_length_c 3.348
_cell_angle_alpha 90.00
_cell_angle_beta 90.00
_cell_angle_gamma 90.00
loop_
_atom_site_label
_atom_site_type_symbol
_atom_site_fract_x
_atom_site_fract_y
_atom_site_fract_z
_atom_site_occupancy
Fe1 Fe 0.000 0.000 0.000 1
Ni1 Ni 0.000 0.500 0.000 1
Ag1 Ag 0.500 0.500 0.500 1
O1 O 0.000 0.000 0.500 1
```

***

Record 2
Here is a PBEsol-optimized structure of RbV2FeAg2O8 from Alexandria via LeMat-Bulk. Energies are from meta-GGA SCAN.

Summary:
Final energy, eV for the cell shown: -212.6
Formation energy from raw total energies, eV per atom: -1.87

CIF file:
```
data_RbV2FeAg2O8
_symmetry_space_group_name_H-M 'P -3'
_symmetry_Int_Tables_number 147
_cell_length_a 5.3016
_cell_length_b 5.3016
_cell_length_c 7.3294
_cell_angle_alpha 90.00
_cell_angle_beta 90.00
_cell_angle_gamma 120.00
loop_
_symmetry_equiv_pos_as_xyz
'x,y,z'
'-x,-y,-z'
'-y,x-y,z'
'y,-x+y,-z'
'-x+y,-x,z'
'x-y,x,-z'
loop_
_atom_site_label
_atom_site_type_symbol
_atom_site_fract_x
_atom_site_fract_y
_atom_site_fract_z
_atom_site_occupancy
Rb1 Rb 0.0000 0.0000 0.0000 1
V1 V 0.3333 0.6667 0.7198 1
Fe1 Fe 0.0000 0.0000 0.5000 1
Ag1 Ag 0.3333 0.6667 0.2549 1
O1 O 0.0698 0.3189 0.6466 1
O2 O 0.3333 0.6667 0.9483 1
```

***

Record 3
Here is a PBEsol-optimized structure of Sr3Fe2Ag2S2O5 from Alexandria via LeMat-Bulk. Energies are from meta-GGA SCAN.

Summary:
Final energy, eV for the cell shown: -485.1
Formation energy from raw total energies, eV per atom: -1.88

CIF file:
```
data_Sr3Fe2Ag2S2O5
_symmetry_space_group_name_H-M 'I 4/m m m'
_symmetry_Int_Tables_number 139
_symmetry_space_group_name_Hall '-I 4 2'
_cell_length_a 3.900
_cell_length_b 3.900
_cell_length_c 27.018
_cell_angle_alpha 90.00
_cell_angle_beta 90.00
_cell_angle_gamma 90.00
loop_
_atom_site_label
_atom_site_type_symbol
_atom_site_fract_x
_atom_site_fract_y
_atom_site_fract_z
_atom_site_occupancy
Sr1 Sr 0.000 0.000 0.000 1
Sr2 Sr 0.000 0.000 0.134 1
Fe1 Fe 0.000 0.000 0.431 1
Ag1 Ag 0.000 0.500 0.250 1
S1 S 0.000 0.000 0.316 1
O1 O 0.000 0.000 0.500 1
O2 O 0.000 0.500 0.076 1
```

***

Record 4
Here is a PBEsol-optimized structure of Sr6Fe5Ag3Se4O10 from Alexandria via LeMat-Bulk. Energies are from meta-GGA SCAN.

Summary:
Final energy, eV for the cell shown: -1025.0
Formation energy from raw total energies, eV per atom: -1.84

CIF file:
```
data_Sr6Fe5Ag3Se4O10
_symmetry_space_group_name_H-M 'C 2 2 2'
_symmetry_Int_Tables_number 21
_cell_length_a 5.557
_cell_length_b 27.836
_cell_length_c 5.556
_cell_angle_alpha 90.00
_cell_angle_beta 90.00
_cell_angle_gamma 90.00
loop_
_symmetry_equiv_pos_as_xyz
'x,y,z'
'-x,-y,z'
'x,-y,-z'
'-x,y,-z'
'x+1/2,y+1/2,z'
'-x+1/2,-y+1/2,z'
'x+1/2,-y+1/2,-z'
'-x+1/2,y+1/2,-z'
loop_
_atom_site_label
_atom_site_type_symbol
_atom_site_fract_x
_atom_site_fract_y
_atom_site_fract_z
_atom_site_occupancy
Sr1 Sr 0.247 0.121 0.247 1
Sr2 Sr 0.250 0.250 0.249 1
Fe1 Fe 0.000 0.500 0.500 1
Fe2 Fe 0.249 0.318 0.749 1
Ag1 Ag 0.000 0.000 0.000 1
Ag2 Ag 0.000 0.000 0.500 1
Ag3 Ag 0.000 0.500 0.000 1
Se1 Se 0.234 0.436 0.734 1
O1 O 0.000 0.176 0.000 1
O2 O 0.000 0.176 0.500 1
O3 O 0.000 0.324 0.000 1
O4 O 0.000 0.324 0.500 1
O5 O 0.250 0.250 0.750 1
```

***

Record 5
Here is a PBEsol-optimized structure of Fe2AgOs from Alexandria via LeMat-Bulk. Energies are from meta-GGA SCAN.

Summary:
ΔH_f (0 K), eV/atom: 0.332
Final energy, eV for the cell shown: -138.2

CIF file:
```
data_Fe2AgOs
_symmetry_space_group_name_H-M 'P m m m'
_symmetry_Int_Tables_number 47
_cell_length_a 2.644
_cell_length_b 3.671
_cell_length_c 5.446
_cell_angle_alpha 90.00
_cell_angle_beta 90.00
_cell_angle_gamma 90.00
loop_
_symmetry_equiv_pos_as_xyz
'x,y,z'
'-x,-y,-z'
'-x,-y,z'
'x,y,-z'
'x,-y,-z'
'-x,y,z'
'-x,y,-z'
'x,-y,z'
loop_
_atom_site_label
_atom_site_type_symbol
_atom_site_fract_x
_atom_site_fract_y
_atom_site_fract_z
_atom_site_occupancy
Fe1 Fe 0.000 0.000 0.218 1
Ag1 Ag 0.500 0.500 0.500 1
Os1 Os 0.500 0.500 0.000 1
```

***

Record 6
Here is a PBEsol-optimized structure of Fe2AgOs from Alexandria via LeMat-Bulk. Energies are from meta-GGA SCAN.

Summary:
ΔH_f (0 K), eV/atom: 0.284
Final energy, eV for the cell shown: -415.1

CIF file:
```
data_Fe2AgOs
_symmetry_space_group_name_H-M 'R -3 m'
_symmetry_Int_Tables_number 166
_symmetry_space_group_name_Hall '-R 3 2"'
_cell_length_a 2.6576
_cell_length_b 2.6576
_cell_length_c 26.0459
_cell_angle_alpha 90.00
_cell_angle_beta 90.00
_cell_angle_gamma 120.00
loop_
_atom_site_label
_atom_site_type_symbol
_atom_site_fract_x
_atom_site_fract_y
_atom_site_fract_z
_atom_site_occupancy
Fe1 Fe 0.0000 0.0000 0.2460 1
Ag1 Ag 0.0000 0.0000 0.0000 1
Os1 Os 0.0000 0.0000 0.5000 1
```

***

Number 5 is which compound? Fe2AgOs

***

Repeat the sixth record exactly.
Here is a PBEsol-optimized structure of Fe2AgOs from Alexandria via LeMat-Bulk. Energies are from meta-GGA SCAN.

Summary:
ΔH_f (0 K), eV/atom: 0.284
Final energy, eV for the cell shown: -415.1

CIF file:
```
data_Fe2AgOs
_symmetry_space_group_name_H-M 'R -3 m'
_symmetry_Int_Tables_number 166
_symmetry_space_group_name_Hall '-R 3 2"'
_cell_length_a 2.6576
_cell_length_b 2.6576
_cell_length_c 26.0459
_cell_angle_alpha 90.00
_cell_angle_beta 90.00
_cell_angle_gamma 120.00
loop_
_atom_site_label
_atom_site_type_symbol
_atom_site_fract_x
_atom_site_fract_y
_atom_site_fract_z
_atom_site_occupancy
Fe1 Fe 0.0000 0.0000 0.2460 1
Ag1 Ag 0.0000 0.0000 0.0000 1
Os1 Os 0.0000 0.0000 0.5000 1
```

***

Copy entry 5 word for word.
Here is a PBEsol-optimized structure of Fe2AgOs from Alexandria via LeMat-Bulk. Energies are from meta-GGA SCAN.

Summary:
ΔH_f (0 K), eV/atom: 0.332
Final energy, eV for the cell shown: -138.2

CIF file:
```
data_Fe2AgOs
_symmetry_space_group_name_H-M 'P m m m'
_symmetry_Int_Tables_number 47
_cell_length_a 2.644
_cell_length_b 3.671
_cell_length_c 5.446
_cell_angle_alpha 90.00
_cell_angle_beta 90.00
_cell_angle_gamma 90.00
loop_
_symmetry_equiv_pos_as_xyz
'x,y,z'
'-x,-y,-z'
'-x,-y,z'
'x,y,-z'
'x,-y,-z'
'-x,y,z'
'-x,y,-z'
'x,-y,z'
loop_
_atom_site_label
_atom_site_type_symbol
_atom_site_fract_x
_atom_site_fract_y
_atom_site_fract_z
_atom_site_occupancy
Fe1 Fe 0.000 0.000 0.218 1
Ag1 Ag 0.500 0.500 0.500 1
Os1 Os 0.500 0.500 0.000 1
```

***

What is the final energy in the fourth record? -1025.0 eV for the cell shown